(1)
Computed, not measured: crystalline ZrAu4 at its relaxed geometry at the PBE level of DFT.

```
ZrAu4
1.0
5.130 0.000 0.000
0.000 4.963 0.000
0.000 0.000 14.593
Zr Au
4 16
direct
0.156 0.250 0.098
0.344 0.750 0.598
0.656 0.250 0.402
0.844 0.750 0.902
0.156 0.250 0.299
0.160 0.250 0.500
0.160 0.250 0.899
0.175 0.250 0.697
0.325 0.750 0.197
0.340 0.750 0.000
0.340 0.750 0.399
0.344 0.750 0.799
0.656 0.250 0.201
0.660 0.250 0.000
0.660 0.250 0.601
0.675 0.250 0.803
0.825 0.750 0.303
0.840 0.750 0.101
0.840 0.750 0.500
0.844 0.750 0.701
```

Values from the calculation:
total magnetic moment: 0.000 μB/atom
E_form: -419 meV per atom

(2)
Computed, not measured: crystalline AcAu4S at its relaxed geometry at the PBE level of DFT.

```
AcAu4S
1.0
0.000 4.030 4.030
4.030 0.000 4.030
4.030 4.030 0.000
Ac Au S
1 4 1
direct
0.000 0.000 0.000
0.127 0.624 0.624
0.624 0.127 0.624
0.624 0.624 0.127
0.624 0.624 0.624
0.250 0.250 0.250
```

Values from the calculation:
total magnetic moment: 0.000 μB/atom
E_form (uncorrected): -0.493 eV/atom

(3)
Computed, not measured: crystalline Mn2TeCl at its relaxed geometry at the PBE level of DFT.

```
Mn2TeCl
1.0
-1.560 2.757 5.010
1.560 -2.757 5.010
1.560 2.757 -5.010
Mn Te Cl
2 1 1
direct
0.000 0.000 0.000
0.757 0.257 0.500
0.246 0.746 0.500
0.554 0.554 0.000
```

Values from the calculation:
total magnetic moment: 2.176 μB/atom
energy above the most stable polymorph in this dataset: 308 meV/atom
E_form (uncorrected): 0.155 eV/atom

(4)
Computed, not measured: crystalline SiCl at its relaxed geometry at the PBE level of DFT.

```
SiCl
1.0
0.000 3.337 3.337
3.337 0.000 3.337
3.337 3.337 0.000
Si Cl
2 2
direct
0.125 0.125 0.125
0.875 0.875 0.875
0.375 0.375 0.375
0.625 0.625 0.625
```

Values from the calculation:
total magnetic moment: 0.001 μB/atom
energy above the most stable polymorph in this dataset: 1205 meV/atom
E_form (uncorrected): 0.531 eV/atom

(5)
Computed, not measured: crystalline LiCe2SiPt6 at its relaxed geometry at the PBE level of DFT.

```
LiCe2SiPt6
1.0
4.885 -2.814 0.000
4.885 2.814 0.000
-3.265 0.000 7.192
Li Ce Si Pt
1 2 1 6
direct
0.000 0.000 0.000
0.293 0.293 0.880
0.707 0.707 0.120
0.500 0.500 0.500
0.233 0.748 0.731
0.251 0.251 0.268
0.252 0.767 0.269
0.748 0.233 0.731
0.749 0.749 0.732
0.767 0.252 0.269
```

Values from the calculation:
total magnetic moment: 0.126 μB/atom
E_form (uncorrected): -0.809 eV/atom

(6)
Computed, not measured: crystalline Nd2Sn3Hg2 at its relaxed geometry at the PBE level of DFT.

```
Nd2Sn3Hg2
1.0
5.864 -2.417 0.000
5.864 2.417 0.000
-1.291 0.000 6.697
Nd Sn Hg
2 3 2
direct
0.103 0.103 0.291
0.897 0.897 0.709
0.209 0.209 0.845
0.500 0.500 0.000
0.791 0.791 0.155
0.385 0.385 0.384
0.615 0.615 0.616
```

Values from the calculation:
total magnetic moment: 0.000 μB/atom
E_form: -463 meV per atom

Number 1: density of states at the Fermi level 1.99 states/eV/f.u.. Number 2: density of states at the Fermi level 3.07 states/eV/f.u.. Number 3: density of states at the Fermi level 2.26 states/eV/f.u.. Number 4: density of states at the Fermi level 2.35 states/eV/f.u.. Number 5: density of states at the Fermi level 13.56 states/eV/f.u.. Number 6: density of states at the Fermi level 3.48 states/eV/f.u..